Li2ZnH | PBE | relaxed

a b c (Å): 2.607 2.607 6.884
angles (deg): 90.00 90.00 90.00
Fractional positions:
Li 0.000 0.000 0.180
Li 0.000 0.000 0.820
Zn 0.500 0.500 0.500
H 0.500 0.500 0.000

Output
- VASP energy: -2.257 eV per atom
- Space group: P4/mmm (123)
- Total magnetization: 0.000 μB/atom
- Energy above the lowest structure with this stoichiometry: 37 kJ/mol of formula units
- DOS(E_F): 0.91 states/eV/cell

=====

CaCuP2 | PBE | relaxed

a b c (Å): 4.636 4.636 4.636
angles (deg): 60.00 60.00 60.00
Fractional positions:
Ca 0.000 0.000 0.000
Cu 0.500 0.500 0.500
P 0.250 0.250 0.250
P 0.750 0.750 0.750

Output
- Formation energy: -0.02 eV per atom
- VASP energy: -4.251 eV per atom
- Space group: Fm-3m (225)
- Total magnetization: 0.000 μB/atom
- DOS(E_F): 2.58 states/eV/cell

=====

Co2HgB | PBE | relaxed

a b c (Å): 4.086 4.086 4.086
angles (deg): 60.00 60.00 60.00
Fractional positions:
Co 0.250 0.250 0.250
Co 0.750 0.750 0.750
Hg 0.000 0.000 0.000
B 0.500 0.500 0.500

Output
- Formation energy: 0.87 eV per atom
- VASP energy: -4.424 eV per atom
- Space group: Fm-3m (225)
- Total magnetization: 0.000 μB/atom
- Energy above the lowest structure with this stoichiometry: 60 kJ/mol of formula units
- DOS(E_F): 3.66 states/eV/cell

=====

CaTa2Ni | PBE | relaxed

a b c (Å): 9.937 9.937 9.937
angles (deg): 17.27 17.27 17.27
Fractional positions:
Ca 0.000 0.000 0.000
Ta 0.236 0.236 0.236
Ta 0.764 0.764 0.764
Ni 0.500 0.500 0.500

Output
- Formation energy: 0.52 eV per atom
- VASP energy: -7.356 eV per atom
- Space group: R-3m (166)
- Total magnetization: 0.000 μB/atom
- Energy above the lowest structure with this stoichiometry: 120 kJ/mol of formula units
- DOS(E_F): 4.71 states/eV/cell

=====

ThTeBr2 | PBE | relaxed

a b c (Å): 7.513 7.513 9.437
angles (deg): 90.00 90.00 147.53
Fractional positions:
Th 0.229 0.771 0.750
Th 0.771 0.229 0.250
Te 0.420 0.580 0.250
Te 0.580 0.420 0.750
Br 0.162 0.838 0.072
Br 0.162 0.838 0.428
Br 0.838 0.162 0.572
Br 0.838 0.162 0.928

Output
- VASP energy: -4.890 eV per atom
- Formation energy without anion corrections: -1.413 eV/atom
- Space group: Cmcm (63)
- Total magnetization: 0.000 μB/atom
- DOS(E_F): 0.00 states/eV/cell

=====

BaBH6 | PBE | relaxed

a b c (Å): 4.669 4.669 4.179
angles (deg): 116.22 116.22 63.97
Fractional positions:
Ba 0.000 0.000 0.000
B 0.500 0.500 0.500
H 0.159 0.558 0.362
H 0.442 0.841 0.638
H 0.499 0.499 0.150
H 0.501 0.501 0.850
H 0.558 0.159 0.362
H 0.841 0.442 0.638

Output
- VASP energy: -3.626 eV per atom
- Space group: C2/m (12)
- Total magnetization: 0.000 μB/atom
- DOS(E_F): 0.94 states/eV/cell

=====

SrIn | PBE | relaxed

a b c (Å): 6.684 6.684 6.856
angles (deg): 90.00 90.00 90.00
Fractional positions:
Sr 0.192 0.192 0.000
Sr 0.308 0.692 0.500
Sr 0.692 0.308 0.500
Sr 0.808 0.808 0.000
In 0.170 0.170 0.500
In 0.330 0.670 0.000
In 0.670 0.330 0.000
In 0.830 0.830 0.500

Output
- Formation energy: -0.17 eV per atom
- VASP energy: -2.382 eV per atom
- Space group: P4_2/mnm (136)
- Total magnetization: 0.000 μB/atom
- DOS(E_F): 7.49 states/eV/cell

=====

K2MnBe | PBE | relaxed

a b c (Å): 4.801 4.847 5.244
angles (deg): 90.00 90.00 90.00
Fractional positions:
K 0.000 0.000 0.000
K 0.500 0.500 0.000
Mn 0.000 0.500 0.500
Be 0.500 0.000 0.500

Output
- Formation energy: 1.17 eV per atom
- VASP energy: -2.606 eV per atom
- Space group: Pmmm (47)
- Total magnetization: 1.048 μB/atom
- DOS(E_F): 4.15 states/eV/cell

=====

TbDy2Ho6Tm3 | PBE | relaxed

a b c (Å): 6.082 6.082 11.639
angles (deg): 94.98 94.98 119.93
Fractional positions:
Tb 0.000 0.000 0.000
Dy 0.333 0.667 0.000
Dy 0.667 0.333 0.000
Ho 0.085 0.418 0.252
Ho 0.249 0.249 0.748
Ho 0.418 0.085 0.252
Ho 0.582 0.915 0.748
Ho 0.751 0.751 0.252
Ho 0.915 0.582 0.748
Tm 0.167 0.833 0.500
Tm 0.500 0.500 0.500
Tm 0.833 0.167 0.500

Output
- Formation energy: 0.02 eV per atom
- VASP energy: -4.539 eV per atom
- Space group: C2/m (12)
- Total magnetization: 0.000 μB/atom
- DOS(E_F): 16.24 states/eV/cell

=====

BaNiRu2 | PBE | relaxed

a b c (Å): 9.222 9.222 9.222
angles (deg): 149.89 149.89 43.10
Fractional positions:
Ba 0.375 0.625 0.750
Ba 0.625 0.375 0.250
Ni 0.125 0.875 0.250
Ni 0.875 0.125 0.750
Ru 0.000 0.000 0.000
Ru 0.000 0.000 0.500
Ru 0.000 0.500 0.000
Ru 0.500 0.000 0.500

Output
- Formation energy: 0.70 eV per atom
- VASP energy: -5.863 eV per atom
- Space group: I4_1/amd (141)
- Total magnetization: 0.295 μB/atom
- Energy above the lowest structure with this stoichiometry: 175 kJ/mol of formula units
- DOS(E_F): 10.47 states/eV/cell

=====

CaHg3Bi | PBE | relaxed

a b c (Å): 5.787 5.787 5.787
angles (deg): 90.00 90.00 90.00
Fractional positions:
Ca 0.000 0.000 0.000
Hg 0.000 0.500 0.500
Hg 0.500 0.000 0.500
Hg 0.500 0.500 0.000
Bi 0.500 0.500 0.500

Output
- Formation energy: 0.20 eV per atom
- VASP energy: -1.161 eV per atom
- Space group: Pm-3m (221)
- Total magnetization: 0.000 μB/atom
- Energy above the lowest structure with this stoichiometry: 235 kJ/mol of formula units
- DOS(E_F): 4.85 states/eV/cell

=====

MgSc2Ru | PBE | relaxed

a b c (Å): 5.051 5.051 5.051
angles (deg): 129.41 129.41 74.35
Fractional positions:
Mg 0.000 0.000 0.000
Sc 0.500 0.500 0.000
Sc 0.750 0.250 0.500
Ru 0.250 0.750 0.500

Output
- Formation energy: -0.12 eV per atom
- VASP energy: -6.002 eV per atom
- Space group: I-4m2 (119)
- Total magnetization: 0.000 μB/atom
- DOS(E_F): 4.39 states/eV/cell

=====

The highest total magnetization belongs to which entry? K2MnBe

=====

Among the records above, which one has the lowest VASP energy? CaTa2Ni

=====

Look up the VASP energy of the fourth one. -7.356 eV per atom